The following is a DFT calculation (PBE with a Hubbard U) of MnGaTeO6 after structural relaxation.

Cell lengths 5.1023, 5.1023, 8.9444 Å; angles 90.00, 90.00, 120.00 degrees
Each line ends with the local moment (μB).
Fractional coordinates of all 18 atoms:
Mn (0.0000, 0.0000, 0.0000)  4.18
Mn (0.0000, 0.0000, 0.5000)  4.18
Ga (0.3333, 0.6667, 0.2500)  0.01
Ga (0.6667, 0.3333, 0.7500)  0.01
Te (0.6667, 0.3333, 0.2500)  0.03
Te (0.3333, 0.6667, 0.7500)  0.03
O (0.6557, 0.6492, 0.1312)  -0.05
O (0.9935, 0.3443, 0.1312)  -0.05
O (0.3443, 0.9935, 0.6312)  -0.05
O (0.0065, 0.6557, 0.8688)  -0.05
O (0.3508, 0.3443, 0.3688)  -0.05
O (0.9935, 0.6492, 0.3688)  -0.05
O (0.6492, 0.9935, 0.8688)  -0.05
O (0.6557, 0.0065, 0.3688)  -0.05
O (0.0065, 0.3508, 0.6312)  -0.05
O (0.3508, 0.0065, 0.1312)  -0.05
O (0.6492, 0.6557, 0.6312)  -0.05
O (0.3443, 0.3508, 0.8688)  -0.05

Values from the calculation:
Calculated volume in Å³/f.u.: 100.83
Fermi-level density of states in states/eV/f.u.: 2.82
VASP energy in eV/atom: -6.126
Symmetry: P-31c (163)